Record 1
# TlHgBi4 | Alexandria via LeMat-Bulk | PBE | relaxed
# Formation energy, eV/atom: 0.106
data_TlHgBi4
_cell_length_a 9.416
_cell_length_b 9.416
_cell_length_c 9.416
_cell_angle_alpha 90.00
_cell_angle_beta 90.00
_cell_angle_gamma 90.00
_symmetry_space_group_name_H-M 'F -4 3 m'
_symmetry_Int_Tables_number 216
_symmetry_space_group_name_Hall 'F -4 2 3'
loop_
_atom_site_label
_atom_site_fract_x
_atom_site_fract_y
_atom_site_fract_z
Tl1 0.000 0.000 0.000
Hg1 0.250 0.250 0.750
Bi1 0.122 0.122 0.378

---

Record 2
# BeB2H6 | Alexandria via LeMat-Bulk | PBE | relaxed
# Relative energy among the computed polymorphs, meV/atom: 1324.7
data_BeB2H6
_cell_length_a 5.456
_cell_length_b 5.456
_cell_length_c 5.456
_cell_angle_alpha 90.00
_cell_angle_beta 90.00
_cell_angle_gamma 90.00
_symmetry_space_group_name_H-M 'F m -3 m'
_symmetry_Int_Tables_number 225
_symmetry_space_group_name_Hall '-F 4 2 3'
loop_
_atom_site_label
_atom_site_fract_x
_atom_site_fract_y
_atom_site_fract_z
Be1 0.000 0.000 0.000
B1 0.250 0.250 0.250
H1 0.000 0.000 0.281

---

Record 3
# BeHg2Os | Alexandria via LeMat-Bulk | PBE | relaxed
# Formation energy, eV/atom: 0.371
data_BeHg2Os
_cell_length_a 3.107
_cell_length_b 3.037
_cell_length_c 7.578
_cell_angle_alpha 90.00
_cell_angle_beta 100.87
_cell_angle_gamma 90.00
_symmetry_space_group_name_H-M 'P 1 m 1'
_symmetry_Int_Tables_number 6
loop_
_symmetry_equiv_pos_as_xyz
'x,y,z'
'x,-y,z'
loop_
_atom_site_label
_atom_site_fract_x
_atom_site_fract_y
_atom_site_fract_z
Be1 0.000 0.000 0.000
Hg1 0.652 0.500 0.281
Hg2 0.829 0.000 0.628
Os1 0.454 0.500 0.901

---

Record 4
# Pr5Nd2TmSc | Alexandria via LeMat-Bulk | PBE | relaxed
# Formation energy, eV/atom: 0.275
data_Pr5Nd2TmSc
_cell_length_a 8.452
_cell_length_b 8.452
_cell_length_c 17.430
_cell_angle_alpha 90.00
_cell_angle_beta 90.00
_cell_angle_gamma 90.00
_symmetry_space_group_name_H-M 'I 4/m c m'
_symmetry_Int_Tables_number 140
_symmetry_space_group_name_Hall '-I 4 2c'
loop_
_atom_site_label
_atom_site_fract_x
_atom_site_fract_y
_atom_site_fract_z
Pr1 0.000 0.000 0.000
Pr2 0.220 0.280 0.147
Nd1 0.126 0.374 0.500
Tm1 0.000 0.000 0.250
Sc1 0.000 0.500 0.250

---

Record 5
# PrEr2Re | Alexandria via LeMat-Bulk | PBE | relaxed
# Formation energy, eV/atom: 0.802
data_PrEr2Re
_cell_length_a 3.2497
_cell_length_b 3.2497
_cell_length_c 34.1947
_cell_angle_alpha 90.00
_cell_angle_beta 90.00
_cell_angle_gamma 120.00
_symmetry_space_group_name_H-M 'R -3 m'
_symmetry_Int_Tables_number 166
_symmetry_space_group_name_Hall '-R 3 2"'
loop_
_atom_site_label
_atom_site_fract_x
_atom_site_fract_y
_atom_site_fract_z
Pr1 0.0000 0.0000 0.0000
Er1 0.0000 0.0000 0.4222
Re1 0.0000 0.0000 0.5000

---

Record 6
# CaCd5Cu | Alexandria via LeMat-Bulk | PBE | relaxed
# Formation energy, eV/atom: -0.129
data_CaCd5Cu
_cell_length_a 4.693
_cell_length_b 4.693
_cell_length_c 7.372
_cell_angle_alpha 90.00
_cell_angle_beta 90.00
_cell_angle_gamma 90.00
_symmetry_space_group_name_H-M 'P 4/m m m'
_symmetry_Int_Tables_number 123
_symmetry_space_group_name_Hall '-P 4 2'
loop_
_atom_site_label
_atom_site_fract_x
_atom_site_fract_y
_atom_site_fract_z
Ca1 0.000 0.000 0.000
Cd1 0.000 0.500 0.301
Cd2 0.500 0.500 0.000
Cu1 0.000 0.000 0.500

---

Record 7
# Na2HfAs2O6 | Alexandria via LeMat-Bulk | PBE | relaxed
# Raw formation energy, eV per formula unit: -22.3
data_Na2HfAs2O6
_cell_length_a 9.609
_cell_length_b 5.648
_cell_length_c 6.451
_cell_angle_alpha 90.00
_cell_angle_beta 90.26
_cell_angle_gamma 90.00
_symmetry_space_group_name_H-M 'C 1 2/m 1'
_symmetry_Int_Tables_number 12
loop_
_symmetry_equiv_pos_as_xyz
'x,y,z'
'-x,-y,-z'
'-x,y,-z'
'x,-y,z'
'x+1/2,y+1/2,z'
'-x+1/2,-y+1/2,-z'
'-x+1/2,y+1/2,-z'
'x+1/2,-y+1/2,z'
loop_
_atom_site_label
_atom_site_fract_x
_atom_site_fract_y
_atom_site_fract_z
Na1 0.158 0.000 0.168
Hf1 0.000 0.500 0.000
As1 0.161 0.000 0.686
O1 0.063 0.237 0.796
O2 0.197 0.500 0.133

---

Record 8
# Tc2P3 | Alexandria via LeMat-Bulk | PBE | relaxed
# Formation energy, eV/atom: -0.268
# Relative energy among the computed polymorphs, meV/atom: 271.0
data_Tc2P3
_cell_length_a 10.422
_cell_length_b 13.079
_cell_length_c 4.331
_cell_angle_alpha 90.00
_cell_angle_beta 90.00
_cell_angle_gamma 90.00
_symmetry_space_group_name_H-M 'F d d 2'
_symmetry_Int_Tables_number 43
_symmetry_space_group_name_Hall 'F 2 -2d'
loop_
_atom_site_label
_atom_site_fract_x
_atom_site_fract_y
_atom_site_fract_z
Tc1 0.012 0.166 0.000
P1 0.000 0.000 0.763
P2 0.112 0.185 0.510

---

Record 9
# BaMnZnBi2 | Alexandria via LeMat-Bulk | PBE | relaxed
# Formation energy, eV/atom: 0.268
data_BaMnZnBi2
_cell_length_a 5.131
_cell_length_b 5.131
_cell_length_c 5.905
_cell_angle_alpha 90.00
_cell_angle_beta 90.00
_cell_angle_gamma 90.00
_symmetry_space_group_name_H-M 'P 4/m m m'
_symmetry_Int_Tables_number 123
_symmetry_space_group_name_Hall '-P 4 2'
loop_
_atom_site_label
_atom_site_fract_x
_atom_site_fract_y
_atom_site_fract_z
Ba1 0.000 0.000 0.000
Mn1 0.000 0.000 0.500
Zn1 0.500 0.500 0.000
Bi1 0.000 0.500 0.500

---

Record 10
# Tb3SmDy4 | Alexandria via LeMat-Bulk | PBE | relaxed
# Formation energy, eV/atom: 0.171
# Relative energy among the computed polymorphs, meV/atom: 157.7
data_Tb3SmDy4
_cell_length_a 23.419
_cell_length_b 3.473
_cell_length_c 6.701
_cell_angle_alpha 90.00
_cell_angle_beta 106.61
_cell_angle_gamma 90.00
_symmetry_space_group_name_H-M 'C 1 2/m 1'
_symmetry_Int_Tables_number 12
loop_
_symmetry_equiv_pos_as_xyz
'x,y,z'
'-x,-y,-z'
'-x,y,-z'
'x,-y,z'
'x+1/2,y+1/2,z'
'-x+1/2,-y+1/2,-z'
'-x+1/2,y+1/2,-z'
'x+1/2,-y+1/2,z'
loop_
_atom_site_label
_atom_site_fract_x
_atom_site_fract_y
_atom_site_fract_z
Tb1 0.000 0.000 0.000
Tb2 0.126 0.000 0.870
Sm1 0.000 0.500 0.500
Dy1 0.125 0.000 0.381
Dy2 0.240 0.500 0.738

---

Record 11
# AlZn2 | Alexandria via LeMat-Bulk | PBE | relaxed
# Formation energy, eV/atom: 0.046
data_AlZn2
_cell_length_a 2.815
_cell_length_b 2.815
_cell_length_c 24.532
_cell_angle_alpha 90.00
_cell_angle_beta 90.00
_cell_angle_gamma 90.00
_symmetry_space_group_name_H-M 'I 41/a m d'
_symmetry_Int_Tables_number 141
loop_
_symmetry_equiv_pos_as_xyz
'x,y,z'
'-x,-y,-z'
'-y+1/4,x+3/4,z+1/4'
'y+1/4,-x+3/4,-z+1/4'
'-x+1/2,-y,z+1/2'
'x+1/2,y,-z+1/2'
'y+1/4,-x+1/4,z+3/4'
'-y+1/4,x+1/4,-z+3/4'
'x,-y,-z'
'-x,y,z'
'-y+1/4,-x+1/4,-z+3/4'
'y+1/4,x+1/4,z+3/4'
'-x+1/2,y,-z+1/2'
'x+1/2,-y,z+1/2'
'y+1/4,x+3/4,-z+1/4'
'-y+1/4,-x+3/4,z+1/4'
'x+1/2,y+1/2,z+1/2'
'-x+1/2,-y+1/2,-z+1/2'
'-y+3/4,x+1/4,z+3/4'
'y+3/4,-x+1/4,-z+3/4'
'-x,-y+1/2,z'
'x,y+1/2,-z'
'y+3/4,-x+3/4,z+1/4'
'-y+3/4,x+3/4,-z+1/4'
'x+1/2,-y+1/2,-z+1/2'
'-x+1/2,y+1/2,z+1/2'
'-y+3/4,-x+3/4,-z+1/4'
'y+3/4,x+3/4,z+1/4'
'-x,y+1/2,-z'
'x,-y+1/2,z'
'y+3/4,x+1/4,-z+3/4'
'-y+3/4,-x+1/4,z+3/4'
loop_
_atom_site_label
_atom_site_fract_x
_atom_site_fract_y
_atom_site_fract_z
Al1 0.000 0.250 0.375
Zn1 0.000 0.250 0.795

---

Record 12
# Tl2CdAu4 | Alexandria via LeMat-Bulk | PBE | relaxed
# Formation energy, eV/atom: 0.014
data_Tl2CdAu4
_cell_length_a 5.514
_cell_length_b 5.577
_cell_length_c 7.352
_cell_angle_alpha 71.43
_cell_angle_beta 77.83
_cell_angle_gamma 60.43
_symmetry_space_group_name_H-M 'P -1'
_symmetry_Int_Tables_number 2
loop_
_symmetry_equiv_pos_as_xyz
'x,y,z'
'-x,-y,-z'
loop_
_atom_site_label
_atom_site_fract_x
_atom_site_fract_y
_atom_site_fract_z
Tl1 0.032 0.158 0.178
Cd1 0.500 0.000 0.500
Au1 0.000 0.500 0.500
Au2 0.330 0.512 0.160
Au3 0.500 0.500 0.500

---

Copy entry 10 word for word.
# Tb3SmDy4 | Alexandria via LeMat-Bulk | PBE | relaxed
# Formation energy, eV/atom: 0.171
# Relative energy among the computed polymorphs, meV/atom: 157.7
data_Tb3SmDy4
_cell_length_a 23.419
_cell_length_b 3.473
_cell_length_c 6.701
_cell_angle_alpha 90.00
_cell_angle_beta 106.61
_cell_angle_gamma 90.00
_symmetry_space_group_name_H-M 'C 1 2/m 1'
_symmetry_Int_Tables_number 12
loop_
_symmetry_equiv_pos_as_xyz
'x,y,z'
'-x,-y,-z'
'-x,y,-z'
'x,-y,z'
'x+1/2,y+1/2,z'
'-x+1/2,-y+1/2,-z'
'-x+1/2,y+1/2,-z'
'x+1/2,-y+1/2,z'
loop_
_atom_site_label
_atom_site_fract_x
_atom_site_fract_y
_atom_site_fract_z
Tb1 0.000 0.000 0.000
Tb2 0.126 0.000 0.870
Sm1 0.000 0.500 0.500
Dy1 0.125 0.000 0.381
Dy2 0.240 0.500 0.738

---

Repeat the seventh record exactly.
# Na2HfAs2O6 | Alexandria via LeMat-Bulk | PBE | relaxed
# Raw formation energy, eV per formula unit: -22.3
data_Na2HfAs2O6
_cell_length_a 9.609
_cell_length_b 5.648
_cell_length_c 6.451
_cell_angle_alpha 90.00
_cell_angle_beta 90.26
_cell_angle_gamma 90.00
_symmetry_space_group_name_H-M 'C 1 2/m 1'
_symmetry_Int_Tables_number 12
loop_
_symmetry_equiv_pos_as_xyz
'x,y,z'
'-x,-y,-z'
'-x,y,-z'
'x,-y,z'
'x+1/2,y+1/2,z'
'-x+1/2,-y+1/2,-z'
'-x+1/2,y+1/2,-z'
'x+1/2,-y+1/2,z'
loop_
_atom_site_label
_atom_site_fract_x
_atom_site_fract_y
_atom_site_fract_z
Na1 0.158 0.000 0.168
Hf1 0.000 0.500 0.000
As1 0.161 0.000 0.686
O1 0.063 0.237 0.796
O2 0.197 0.500 0.133